The following is a GGA+U calculation of crystalline ErV2CoO8 at its relaxed geometry, from Alexandria via LeMat-Bulk.

Summary:
Energy (eV/cell): -87.6

a = 5.7104 Å, b = 5.7104 Å, c = 5.6269 Å
α = 90.00°, β = 90.00°, γ = 120.00°
Closest atoms and distances in Å follow each position.
Atoms (fractional coordinates):
Er 0.0000 0.0000 0.0000  6 O 2.24
V 0.3333 0.6667 0.6234  1 O 1.62
V 0.6667 0.3333 0.3766  1 O 1.62
Co 0.0000 0.0000 0.5000  6 O 1.96
O 0.1573 0.3145 0.7127  1 V 1.81, 1 Co 1.96
O 0.1573 0.8427 0.7127  1 V 1.81, 1 Co 1.96
O 0.3145 0.1573 0.2873  1 V 1.81, 1 Co 1.96
O 0.3333 0.6667 0.3360  1 V 1.62
O 0.6667 0.3333 0.6640  1 V 1.62
O 0.6855 0.8427 0.7127  1 V 1.81, 1 Co 1.96
O 0.8427 0.1573 0.2873  1 V 1.81, 1 Co 1.96
O 0.8427 0.6855 0.2873  1 V 1.81, 1 Co 1.96